Here is a relaxed structure of AlTcSe2 from Alexandria via LeMat-Bulk. Energies are from PBE.

Cell and atoms, written as POSCAR:
```
AlTcSe2
1.0
3.083 0.000 0.000
0.000 4.867 0.000
0.000 0.000 9.293
Al Tc Se
2 2 4
Cartesian
0.000 0.000 0.000
1.541 2.433 4.646
0.000 2.433 2.317
1.541 0.000 6.963
0.000 0.000 5.018
0.000 2.433 6.910
1.541 0.000 2.264
1.541 2.433 0.372
```

Calculated values
* M_tot: 0.00 μB/cell
* N(E_F): 2.62 states/eV/f.u.
* E_form (uncorrected): 2.65 kcal/mol of atoms
* crystal system: orthorhombic
* calculated total energy: -5.1547 eV/atom

Here is a relaxed structure of Al2TcSe from Alexandria via LeMat-Bulk. Energies are from PBE.

Cell and atoms, written as POSCAR:
```
Al2TcSe
1.0
2.975 0.000 0.000
0.000 4.958 0.000
0.000 0.000 9.614
Al Tc Se
4 2 2
Cartesian
0.000 0.000 0.000
0.000 2.479 2.378
1.488 0.000 2.378
1.488 2.479 0.000
0.000 0.000 4.512
1.488 2.479 4.512
0.000 2.479 6.515
1.488 0.000 6.515
```

Calculated values
* M_tot: 0.00 μB/cell
* N(E_F): 2.51 states/eV/f.u.
* E_form (uncorrected): 4.08 kcal/mol of atoms
* crystal system: orthorhombic
* calculated total energy: -5.1569 eV/atom

Here is a relaxed structure of Al2TcSe from Alexandria via LeMat-Bulk. Energies are from PBE.

Cell and atoms, written as POSCAR:
```
Al2TcSe
1.0
3.025 0.000 0.000
0.000 3.025 0.000
0.000 0.000 7.477
Al Tc Se
2 1 1
Cartesian
0.000 0.000 0.000
1.513 1.513 1.877
1.513 1.513 5.808
0.000 0.000 4.422
```

Calculated values
* M_tot: 0.00 μB/cell
* N(E_F): 1.49 states/eV/f.u.
* E_form (uncorrected): -2.13 kcal/mol of atoms
* crystal system: tetragonal
* calculated total energy: -5.4264 eV/atom

Here is a relaxed structure of AlTcSe2 from Alexandria via LeMat-Bulk. Energies are from PBE.

Cell and atoms, written as POSCAR:
```
AlTcSe2
1.0
5.842 0.000 0.000
0.000 7.416 0.000
-2.163 0.000 3.483
Al Tc Se
2 2 4
Cartesian
0.000 0.000 0.000
2.921 3.708 0.000
0.000 3.708 0.000
2.921 0.000 0.000
0.379 1.854 1.742
0.379 5.562 1.742
3.300 1.854 1.742
3.300 5.562 1.742
```

Calculated values
* M_tot: 2.78 μB/cell
* N(E_F): 3.09 states/eV/f.u.
* E_form (uncorrected): 6.80 kcal/mol of atoms
* crystal system: monoclinic
* calculated total energy: -4.9745 eV/atom

Here is a relaxed structure of AlTcSe2 from Alexandria via LeMat-Bulk. Energies are from PBE.

Cell and atoms, written as POSCAR:
```
AlTcSe2
1.0
3.423 0.000 0.000
-1.711 2.964 0.000
0.000 0.000 23.659
Al Tc Se
3 3 6
Cartesian
0.000 0.000 0.000
0.000 1.976 15.773
1.711 0.988 7.886
0.000 0.000 11.830
0.000 1.976 3.943
1.711 0.988 19.716
0.000 0.000 9.417
0.000 0.000 14.243
0.000 1.976 1.530
0.000 1.976 6.356
1.711 0.988 17.303
1.711 0.988 22.129
```

Calculated values
* M_tot: 1.88 μB/cell
* N(E_F): 3.87 states/eV/f.u.
* E_form (uncorrected): 3.95 kcal/mol of atoms
* crystal system: trigonal
* calculated total energy: -5.0982 eV/atom

Here is a relaxed structure of Al2TcSe from Alexandria via LeMat-Bulk. Energies are from PBE.

Cell and atoms, written as POSCAR:
```
Al2TcSe
1.0
3.132 0.000 0.000
-1.566 2.713 0.000
0.000 0.000 23.143
Al Tc Se
6 3 3
Cartesian
0.000 0.000 5.711
0.000 0.000 17.433
0.000 1.808 9.718
0.000 1.808 21.140
1.566 0.904 2.004
1.566 0.904 13.425
0.000 0.000 11.572
0.000 1.808 3.857
1.566 0.904 19.286
0.000 0.000 0.000
0.000 1.808 15.429
1.566 0.904 7.714
```

Calculated values
* M_tot: 0.01 μB/cell
* N(E_F): 2.78 states/eV/f.u.
* E_form (uncorrected): -2.56 kcal/mol of atoms
* crystal system: trigonal
* calculated total energy: -5.4448 eV/atom

Here is a relaxed structure of AlTcSe2 from Alexandria via LeMat-Bulk. Energies are from PBE.

Cell and atoms, written as POSCAR:
```
AlTcSe2
1.0
3.157 0.000 0.000
-1.579 2.734 0.000
0.000 0.000 27.355
Al Tc Se
3 3 6
Cartesian
0.000 0.000 0.000
0.000 1.823 18.237
1.579 0.911 9.118
0.000 0.000 13.677
0.000 1.823 4.559
1.579 0.911 22.796
0.000 0.000 2.781
0.000 0.000 24.574
0.000 1.823 15.456
0.000 1.823 21.017
1.579 0.911 6.338
1.579 0.911 11.899
```

Calculated values
* M_tot: 0.00 μB/cell
* N(E_F): 1.91 states/eV/f.u.
* E_form (uncorrected): -0.54 kcal/mol of atoms
* crystal system: trigonal
* calculated total energy: -5.2930 eV/atom

Here is a relaxed structure of Al2TcSe from Alexandria via LeMat-Bulk. Energies are from PBE.

Cell and atoms, written as POSCAR:
```
Al2TcSe
1.0
7.077 0.000 0.000
0.000 7.077 0.000
0.000 0.000 5.555
Al Tc Se
8 4 4
Cartesian
1.740 1.769 0.694
1.769 5.278 2.083
1.769 5.337 4.861
1.799 1.769 3.472
5.278 5.308 3.472
5.308 1.740 4.861
5.308 1.799 2.083
5.337 5.308 0.694
0.000 0.000 2.778
0.000 3.538 4.167
3.538 0.000 1.389
3.538 3.538 0.000
0.000 0.000 0.000
0.000 3.538 1.389
3.538 0.000 4.167
3.538 3.538 2.778
```

Calculated values
* M_tot: 4.66 μB/cell
* N(E_F): 2.21 states/eV/f.u.
* E_form (uncorrected): 5.41 kcal/mol of atoms
* crystal system: tetragonal
* calculated total energy: -5.0994 eV/atom

Here is a relaxed structure of AlTcSe2 from Alexandria via LeMat-Bulk. Energies are from PBE.

Cell and atoms, written as POSCAR:
```
AlTcSe2
1.0
3.205 0.000 0.000
0.000 3.205 0.000
0.000 0.000 7.414
Al Tc Se
1 1 2
Cartesian
0.000 0.000 0.000
1.603 1.603 5.861
0.000 0.000 4.493
1.603 1.603 1.191
```

Calculated values
* M_tot: 0.00 μB/cell
* N(E_F): 0.93 states/eV/f.u.
* E_form (uncorrected): -6.10 kcal/mol of atoms
* crystal system: tetragonal
* calculated total energy: -5.5341 eV/atom

Here is a relaxed structure of AlTcSe2 from Alexandria via LeMat-Bulk. Energies are from PBE.

Cell and atoms, written as POSCAR:
```
AlTcSe2
1.0
8.863 0.000 0.000
0.000 3.076 0.000
-1.719 0.000 6.595
Al Tc Se
2 2 4
Cartesian
0.000 0.000 0.000
4.431 1.538 0.000
2.005 1.538 0.710
6.437 0.000 0.710
0.816 0.000 5.323
3.211 0.000 2.212
5.248 1.538 5.323
7.643 1.538 2.212
```

Calculated values
* M_tot: 0.00 μB/cell
* N(E_F): 0.12 states/eV/f.u.
* E_form (uncorrected): -4.59 kcal/mol of atoms
* crystal system: monoclinic
* calculated total energy: -5.4684 eV/atom

Here is a relaxed structure of Al2TcSe from Alexandria via LeMat-Bulk. Energies are from PBE.

Cell and atoms, written as POSCAR:
```
Al2TcSe
1.0
5.520 0.000 0.000
0.000 7.408 0.000
0.000 0.000 3.074
Al Tc Se
4 2 2
Cartesian
1.380 1.852 0.000
1.380 5.556 0.000
4.140 1.852 0.000
4.140 5.556 0.000
0.000 0.000 1.537
2.760 3.704 1.537
0.000 3.704 1.537
2.760 0.000 1.537
```

Calculated values
* M_tot: 0.00 μB/cell
* N(E_F): 2.94 states/eV/f.u.
* E_form (uncorrected): -0.66 kcal/mol of atoms
* crystal system: orthorhombic
* calculated total energy: -5.3623 eV/atom

Here is a relaxed structure of Al2TcSe from Alexandria via LeMat-Bulk. Energies are from PBE.

Cell and atoms, written as POSCAR:
```
Al2TcSe
1.0
4.394 0.000 0.000
0.000 4.394 0.000
0.000 0.000 3.263
Al Tc Se
2 1 1
Cartesian
0.000 2.197 0.000
2.197 0.000 0.000
0.000 0.000 1.631
2.197 2.197 1.631
```

Calculated values
* M_tot: 0.00 μB/cell
* N(E_F): 1.81 states/eV/f.u.
* E_form (uncorrected): -1.30 kcal/mol of atoms
* crystal system: tetragonal
* calculated total energy: -5.3902 eV/atom

Here is a relaxed structure of Al2TcSe from Alexandria via LeMat-Bulk. Energies are from PBE.

Cell and atoms, written as POSCAR:
```
Al2TcSe
1.0
9.930 0.000 0.000
0.000 3.043 0.000
-1.281 0.000 4.498
Al Tc Se
4 2 2
Cartesian
0.000 0.000 0.000
1.327 0.000 2.862
4.965 1.521 0.000
6.292 1.521 2.862
2.164 1.521 0.470
7.130 0.000 0.470
3.596 0.000 1.844
8.561 1.521 1.844
```

Calculated values
* M_tot: 0.00 μB/cell
* N(E_F): 2.99 states/eV/f.u.
* E_form (uncorrected): -3.03 kcal/mol of atoms
* crystal system: monoclinic
* calculated total energy: -5.4652 eV/atom

Here is a relaxed structure of Al2TcSe from Alexandria via LeMat-Bulk. Energies are from PBE.

Cell and atoms, written as POSCAR:
```
Al2TcSe
1.0
3.430 0.000 0.000
0.000 3.430 0.000
0.000 0.000 5.590
Al Tc Se
2 1 1
Cartesian
0.000 0.000 0.000
1.715 1.715 1.556
1.715 1.715 4.663
0.000 0.000 2.778
```

Calculated values
* M_tot: 0.00 μB/cell
* N(E_F): 3.13 states/eV/f.u.
* E_form (uncorrected): -1.04 kcal/mol of atoms
* crystal system: tetragonal
* calculated total energy: -5.3792 eV/atom

Here is a relaxed structure of AlTcSe2 from Alexandria via LeMat-Bulk. Energies are from PBE.

Cell and atoms, written as POSCAR:
```
AlTcSe2
1.0
3.494 0.000 0.000
0.000 3.739 0.000
-0.021 0.000 6.830
Al Tc Se
1 1 2
Cartesian
0.000 0.000 0.000
1.726 1.870 6.762
0.000 1.870 1.807
1.726 0.000 4.933
```

Calculated values
* M_tot: 0.00 μB/cell
* N(E_F): 2.04 states/eV/f.u.
* E_form (uncorrected): -5.84 kcal/mol of atoms
* crystal system: monoclinic
* calculated total energy: -5.5228 eV/atom